[1]
First-principles (PBE-GGA) data for a geometry-optimized GaCuRu3 structure, as listed in the Alexandria database.

POSCAR file:
```
GaCuRu3
1.0
4.511 0.000 0.000
0.000 4.511 0.000
0.000 0.000 4.511
Ga Cu Ru
1 1 3
direct
0.000 0.000 0.000
0.500 0.500 0.500
0.000 0.000 0.500
0.000 0.500 0.000
0.500 0.000 0.000
```

Properties
Energy relative to the lowest polymorph listed for this composition   31 meV/atom
Crystal system   cubic
E_tot   -5.471 eV per atom
Formation energy from the elements   1.519 eV/atom


[2]
First-principles (PBE-GGA) data for a geometry-optimized CaPm3Ga4 structure, as listed in the Alexandria database.

POSCAR file:
```
CaPm3Ga4
1.0
10.362 0.000 0.000
0.000 7.343 0.000
0.000 0.000 5.182
Ca Pm Ga
2 6 8
direct
0.000 0.000 0.000
0.500 0.000 0.000
0.000 0.500 0.000
0.250 0.000 0.499
0.250 0.500 0.499
0.500 0.500 0.000
0.750 0.000 0.501
0.750 0.500 0.501
0.000 0.248 0.500
0.000 0.752 0.500
0.250 0.248 0.999
0.250 0.752 0.999
0.500 0.248 0.500
0.500 0.752 0.500
0.750 0.248 0.001
0.750 0.752 0.001
```

Properties
Crystal system   orthorhombic
E_tot   -4.078 eV per atom
Formation energy from the elements   -0.533 eV/atom


[3]
First-principles (PBE-GGA) data for a geometry-optimized Li2CrPd4 structure, as listed in the Alexandria database.

POSCAR file:
```
Li2CrPd4
1.0
-3.755 3.755 3.682
3.755 -3.755 3.682
3.755 3.755 -3.682
Li Cr Pd
4 2 8
direct
0.007 0.125 0.382
0.375 0.993 0.118
0.743 0.625 0.618
0.875 0.257 0.882
0.250 0.750 0.500
0.500 0.500 0.000
0.120 0.531 0.747
0.122 0.033 0.753
0.281 0.370 0.247
0.469 0.217 0.589
0.628 0.880 0.411
0.630 0.878 0.911
0.783 0.372 0.253
0.967 0.719 0.089
```

Properties
Energy relative to the lowest polymorph listed for this composition   8 meV/atom
Crystal system   tetragonal
E_tot   -4.970 eV per atom
Formation energy from the elements   -0.081 eV/atom


[4]
First-principles (PBE-GGA) data for a geometry-optimized Pr3AlSi2Pt9 structure, as listed in the Alexandria database.

POSCAR file:
```
Pr3AlSi2Pt9
1.0
6.372 0.000 0.000
-3.186 5.518 0.000
0.000 0.000 8.938
Pr Al Si Pt
3 1 2 9
direct
0.000 0.000 0.000
0.333 0.667 0.682
0.667 0.333 0.318
0.000 0.000 0.500
0.333 0.667 0.181
0.667 0.333 0.819
0.000 0.500 0.000
0.144 0.289 0.286
0.144 0.856 0.286
0.289 0.144 0.714
0.500 0.000 0.000
0.500 0.500 0.000
0.711 0.856 0.286
0.856 0.144 0.714
0.856 0.711 0.714
```

Properties
ΔE_f (raw)   -18.33 kcal/mol of atoms
Crystal system   trigonal
E_tot   -6.348 eV per atom


[5]
First-principles (PBE-GGA) data for a geometry-optimized RbCdHg5 structure, as listed in the Alexandria database.

POSCAR file:
```
RbCdHg5
1.0
4.475 0.000 0.000
0.000 4.475 0.000
0.000 0.000 10.977
Rb Cd Hg
1 1 5
direct
0.000 0.000 0.000
0.000 0.000 0.500
0.000 0.500 0.266
0.000 0.500 0.734
0.500 0.000 0.266
0.500 0.000 0.734
0.500 0.500 0.500
```

Properties
Crystal system   tetragonal
E_tot   -0.579 eV per atom
Formation energy from the elements   -0.095 eV/atom


[6]
First-principles (PBE-GGA) data for a geometry-optimized LiInSn2Se4 structure, as listed in the Alexandria database.

POSCAR file:
```
LiInSn2Se4
1.0
7.066 0.000 0.000
0.000 4.169 0.000
-2.276 0.000 6.739
Li In Sn Se
1 1 2 4
direct
0.000 0.000 0.000
0.000 0.500 0.500
0.500 0.000 0.500
0.500 0.500 0.000
0.231 0.500 0.243
0.232 0.000 0.752
0.768 0.000 0.248
0.769 0.500 0.757
```

Properties
ΔE_f (raw)   -13.34 kcal/mol of atoms
Crystal system   monoclinic
E_tot   -3.903 eV per atom


[7]
First-principles (PBE-GGA) data for a geometry-optimized Sm2Y2Ho5 structure, as listed in the Alexandria database.

POSCAR file:
```
Sm2Y2Ho5
1.0
7.548 -2.513 0.000
7.548 2.513 0.000
-2.514 0.000 7.553
Sm Y Ho
2 2 5
direct
0.112 0.112 0.168
0.888 0.888 0.832
0.444 0.444 0.168
0.556 0.556 0.832
0.000 0.000 0.500
0.222 0.222 0.831
0.333 0.333 0.500
0.667 0.667 0.500
0.778 0.778 0.169
```

Properties
Energy relative to the lowest polymorph listed for this composition   0 meV/atom
Crystal system   monoclinic
E_tot   -5.008 eV per atom
Formation energy from the elements   0.020 eV/atom


[8]
First-principles (PBE-GGA) data for a geometry-optimized Pm2TmAs4Rh3 structure, as listed in the Alexandria database.

POSCAR file:
```
Pm2TmAs4Rh3
1.0
4.305 0.000 0.000
0.000 4.305 0.000
0.000 0.000 10.850
Pm Tm As Rh
2 1 4 3
direct
0.000 0.500 0.223
0.500 0.000 0.777
0.000 0.000 0.500
0.000 0.000 0.000
0.000 0.500 0.660
0.500 0.000 0.340
0.500 0.500 0.000
0.000 0.500 0.888
0.500 0.000 0.112
0.500 0.500 0.500
```

Properties
Crystal system   tetragonal
E_tot   -6.431 eV per atom
Formation energy from the elements   -0.968 eV/atom


[9]
First-principles (PBE-GGA) data for a geometry-optimized Pa2AsPRh6 structure, as listed in the Alexandria database.

POSCAR file:
```
Pa2AsPRh6
1.0
5.484 0.000 0.000
0.000 8.388 0.000
0.000 0.000 7.915
Pa As P Rh
4 2 2 12
direct
0.250 0.016 0.246
0.250 0.484 0.246
0.750 0.516 0.754
0.750 0.984 0.754
0.250 0.250 0.776
0.750 0.750 0.224
0.250 0.750 0.742
0.750 0.250 0.258
0.000 0.250 0.505
0.000 0.750 0.495
0.001 0.250 0.029
0.250 0.501 0.614
0.250 0.999 0.614
0.499 0.250 0.029
0.500 0.250 0.505
0.500 0.750 0.495
0.501 0.750 0.971
0.750 0.001 0.386
0.750 0.499 0.386
0.999 0.750 0.971
```

Properties
Crystal system   orthorhombic
E_tot   -7.991 eV per atom
Formation energy from the elements   -0.675 eV/atom


[10]
First-principles (PBE-GGA) data for a geometry-optimized MnCo2RuSe6 structure, as listed in the Alexandria database.

POSCAR file:
```
MnCo2RuSe6
1.0
6.041 -5.358 0.000
6.041 5.358 0.000
-1.036 0.000 6.059
Mn Co Ru Se
2 4 2 12
direct
0.097 0.903 0.750
0.903 0.097 0.250
0.232 0.391 0.693
0.391 0.232 0.193
0.609 0.768 0.807
0.768 0.609 0.307
0.258 0.742 0.250
0.742 0.258 0.750
0.033 0.199 0.622
0.120 0.626 0.884
0.199 0.033 0.122
0.322 0.472 0.400
0.374 0.880 0.616
0.472 0.322 0.900
0.528 0.678 0.100
0.626 0.120 0.384
0.678 0.528 0.600
0.801 0.967 0.878
0.880 0.374 0.116
0.967 0.801 0.378
```

Properties
ΔE_f (raw)   -5.09 kcal/mol of atoms
Crystal system   monoclinic
E_tot   -5.577 eV per atom


[11]
First-principles (PBE-GGA) data for a geometry-optimized CuBO3 structure, as listed in the Alexandria database.

POSCAR file:
```
CuBO3
1.0
2.718 1.569 3.159
-2.718 1.569 3.159
0.000 -3.139 3.159
Cu B O
1 1 3
direct
0.000 0.000 0.000
0.335 0.335 0.335
0.189 0.189 0.619
0.189 0.619 0.189
0.619 0.189 0.189
```

Properties
ΔE_f (raw)   -25.32 kcal/mol of atoms
Crystal system   trigonal
E_tot   -6.228 eV per atom


[12]
First-principles (PBE-GGA) data for a geometry-optimized CeZnGa2Au structure, as listed in the Alexandria database.

POSCAR file:
```
CeZnGa2Au
1.0
-2.131 2.154 5.466
2.131 -2.154 5.466
2.131 2.154 -5.466
Ce Zn Ga Au
1 1 2 1
direct
0.000 0.000 0.000
0.231 0.731 0.500
0.598 0.598 0.000
0.737 0.237 0.500
0.369 0.369 0.000
```

Properties
Crystal system   orthorhombic
E_tot   -3.829 eV per atom
Formation energy from the elements   -0.521 eV/atom